# CoPd5Se12 PBE-GGA optimized geometry
data_CoPd5Se12
_space_group_name_H-M_alt 'P 1'
_space_group_IT_number 1
_cell_length_a 6.4780
_cell_length_b 6.4827
_cell_length_c 10.7563
_cell_angle_alpha 95.79
_cell_angle_beta 101.64
_cell_angle_gamma 60.02
loop_
_space_group_symop_operation_xyz
'x,y,z'
loop_
_atom_site_label
_atom_site_type_symbol
_atom_site_fract_x
_atom_site_fract_y
_atom_site_fract_z
_atom_site_occupancy
Pd1 Pd 0.1664 0.6673 0.5000 1
Pd2 Pd 0.6667 0.6667 0.0000 1
Pd3 Pd 0.3333 0.3333 0.0000 1
Pd4 Pd 0.5000 0.0000 0.5000 1
Pd5 Pd 0.8336 0.3328 0.5000 1
Se1 Se 0.6447 0.0000 0.8826 1
Se2 Se 0.9605 0.3156 0.8827 1
Se3 Se 0.2083 0.0000 0.6261 1
Se4 Se 0.7239 0.3156 0.1173 1
Se5 Se 0.2761 0.6844 0.8827 1
Se6 Se 0.0395 0.6844 0.1173 1
Se7 Se 0.1249 0.3331 0.3748 1
Se8 Se 0.8751 0.6669 0.6252 1
Se9 Se 0.5419 0.3331 0.6252 1
Se10 Se 0.4581 0.6669 0.3748 1
Se11 Se 0.7917 0.0000 0.3739 1
Se12 Se 0.3553 0.0000 0.1174 1
Co1 Co 0.0000 0.0000 0.0000 1
# ΔE_f (raw): -0.262 eV/atom
# density of states at the Fermi level: 3.9 states/eV/cell
# DFT total energy: -4.42 eV/atom